1.
DFT (PBE) results for Tm3BSb after structural relaxation.

V	119	Å³ per cell
crystal system	cubic

Lattice parameters (Å, degrees): 4.9171 4.9171 4.9171 90.00 90.00 90.00
Space group Pm-3m (No. 221)
Asymmetric unit:
Tm  0.0000  0.0000  0.5000 (multiplicity 3)
B  0.0000  0.0000  0.0000 (multiplicity 1)
Sb  0.5000  0.5000  0.5000 (multiplicity 1)

2.
DFT (PBE) results for Tm8BSb2 after structural relaxation.

V	596	Å³ per cell
crystal system	monoclinic

Lattice parameters (Å, degrees): 17.9889 4.0896 8.1366 90.00 95.55 90.00
Space group C2/m (No. 12)
Asymmetric unit:
Tm  0.0059  0.0000  0.2007 (multiplicity 4)
Tm  0.0925  0.5000  0.5331 (multiplicity 4)
Tm  0.1407  0.5000  0.0283 (multiplicity 4)
Tm  0.2074  0.0000  0.3582 (multiplicity 4)
B  0.0000  0.5000  0.0000 (multiplicity 2)
Sb  0.1808  0.0000  0.7664 (multiplicity 4)

3.
DFT (PBE) results for Tm5B2Sb after structural relaxation.

V	692	Å³ per cell
crystal system	tetragonal

Lattice parameters (Å, degrees): 7.1033 7.1033 13.7147 90.00 90.00 90.00
Space group I4/mcm (No. 140)
Asymmetric unit:
Tm  0.0000  0.0000  0.0000 (multiplicity 4)
Tm  0.1652  0.3348  0.1318 (multiplicity 16)
B  0.0979  0.4021  0.5000 (multiplicity 8)
Sb  0.0000  0.0000  0.2500 (multiplicity 4)

4.
DFT (PBE) results for Tm4BSb2 after structural relaxation.

V	361	Å³ per cell
crystal system	tetragonal

Lattice parameters (Å, degrees): 4.8199 4.8199 15.5530 90.00 90.00 90.00
Space group I4/mmm (No. 139)
Asymmetric unit:
Tm  0.0000  0.0000  0.1603 (multiplicity 4)
Tm  0.0000  0.5000  0.0000 (multiplicity 4)
B  0.0000  0.0000  0.0000 (multiplicity 2)
Sb  0.0000  0.0000  0.3591 (multiplicity 4)

5.
DFT (PBE) results for UBSb after structural relaxation.

V	244	Å³ per cell
crystal system	orthorhombic

Lattice parameters (Å, degrees): 3.3039 19.7566 3.7455 90.00 90.00 90.00
Space group Cmcm (No. 63)
Asymmetric unit:
U  0.0000  0.0436  0.2500 (multiplicity 4)
B  0.0000  0.4190  0.2500 (multiplicity 4)
Sb  0.0000  0.1710  0.7500 (multiplicity 4)

6.
DFT (PBE) results for VB2Sb2 after structural relaxation.

V	145	Å³ per cell
crystal system	tetragonal

Lattice parameters (Å, degrees): 6.3829 6.3829 3.5504 90.00 90.00 90.00
Space group P4/mbm (No. 127)
Asymmetric unit:
V  0.0000  0.0000  0.0000 (multiplicity 2)
B  0.0957  0.4043  0.0000 (multiplicity 4)
Sb  0.2123  0.7123  0.5000 (multiplicity 4)

Number 1: raw total energy -26.92 eV/cell. Number 2: raw total energy -109.58 eV/cell. Number 3: raw total energy -169.89 eV/cell. Number 4: raw total energy -75.41 eV/cell. Number 5: raw total energy -85.29 eV/cell. Number 6: raw total energy -54.03 eV/cell.